1.
Computed, not measured: crystalline Co2AgSbPb at its relaxed geometry at the PBE-GGA level of DFT.

Properties
uncorrected formation energy	1.431	eV per atom
raw total energy	-3.55	eV per atom

a = 4.857 Å, b = 5.804 Å, c = 4.857 Å
α = 90.00°, β = 90.00°, γ = 90.00°
Each line ends with the local moment (μB).
Atoms (fractional coordinates):
Pb: 0.000 0.000 0.000  -0.06
Sb: 0.000 0.500 0.000  0.07
Co: 0.000 0.000 0.500  1.56
Co: 0.500 0.000 0.000  1.87
Ag: 0.500 0.500 0.500  -0.01

***

2.
Computed, not measured: crystalline LiZrO at its relaxed geometry at the PBE-GGA level of DFT.

Properties
uncorrected formation energy	-1.331	eV per atom
raw total energy	-6.47	eV per atom

a = 3.645 Å, b = 3.645 Å, c = 10.215 Å
α = 79.72°, β = 79.72°, γ = 60.00°
Atoms (fractional coordinates):
O: 0.627 0.627 0.120
O: 0.373 0.373 0.880
Zr: 0.293 0.293 0.120
Zr: 0.707 0.707 0.880
Li: 0.869 0.869 0.393
Li: 0.131 0.131 0.607

***

3.
Computed, not measured: crystalline CdHg2F at its relaxed geometry at the PBE-GGA level of DFT.

Properties
uncorrected formation energy	-0.558	eV per atom
energy above the lowest structure with this stoichiometry	0	meV/atom
raw total energy	-1.41	eV per atom

a = 7.767 Å, b = 7.767 Å, c = 6.224 Å
α = 51.40°, β = 51.40°, γ = 90.00°
Atoms (fractional coordinates):
Hg: 0.603 0.125 0.250
Hg: 0.375 0.397 0.750
Hg: 0.147 0.625 0.250
Hg: 0.875 0.853 0.750
F: 0.500 0.500 0.000
F: 0.250 0.750 0.500
Cd: 0.000 0.000 0.000
Cd: 0.750 0.250 0.500

***

4.
Computed, not measured: crystalline Dy5Ho4Er at its relaxed geometry at the PBE-GGA level of DFT.

Properties
DFT formation energy	0.31	eV/atom
energy above the lowest structure with this stoichiometry	251	meV/atom
raw total energy	-4.28	eV per atom

a = 6.229 Å, b = 7.804 Å, c = 7.804 Å
α = 80.83°, β = 66.48°, γ = 66.48°
Atoms (fractional coordinates):
Dy: 0.805 0.378 0.916
Dy: 0.099 0.622 0.084
Dy: 0.721 0.084 0.378
Dy: 0.681 0.000 0.000
Dy: 0.182 0.916 0.622
Ho: 0.105 0.299 0.391
Ho: 0.796 0.701 0.609
Ho: 0.497 0.609 0.299
Ho: 0.404 0.391 0.701
Er: 0.221 0.000 0.000

***

5.
Computed, not measured: crystalline BaLaOs2 at its relaxed geometry at the PBE-GGA level of DFT.

Properties
DFT formation energy	1.06	eV/atom
energy above the lowest structure with this stoichiometry	963	meV/atom
raw total energy	-6.27	eV per atom

a = 9.681 Å, b = 9.681 Å, c = 9.681 Å
α = 20.37°, β = 20.37°, γ = 20.37°
Atoms (fractional coordinates):
Os: 0.494 0.494 0.494
Os: 0.006 0.006 0.006
La: 0.750 0.750 0.750
Ba: 0.250 0.250 0.250

***

6.
Computed, not measured: crystalline Tb2DyErTm5 at its relaxed geometry at the PBE-GGA level of DFT.

Properties
DFT formation energy	0.15	eV/atom
raw total energy	-4.38	eV per atom

a = 5.522 Å, b = 10.174 Å, c = 10.467 Å
α = 90.00°, β = 90.00°, γ = 105.75°
Atoms (fractional coordinates):
Tm: 0.282 0.564 0.307
Tm: 0.981 0.963 0.525
Tm: 0.699 0.398 0.209
Tm: 0.390 0.781 0.022
Tm: 0.301 0.602 0.709
Tm: 0.610 0.219 0.522
Tm: 0.479 0.959 0.738
Tm: 0.521 0.041 0.238
Tm: 0.019 0.037 0.025
Tm: 0.718 0.436 0.807
Er: 0.586 0.173 0.957
Er: 0.414 0.827 0.457
Tb: 0.887 0.774 0.819
Tb: 0.113 0.226 0.319
Tb: 0.890 0.780 0.236
Tb: 0.110 0.220 0.736
Dy: 0.800 0.599 0.511
Dy: 0.200 0.401 0.011

***

7.
Computed, not measured: crystalline Ba2Li2Rh at its relaxed geometry at the PBE-GGA level of DFT.

Properties
DFT formation energy	-0.04	eV/atom
energy above the lowest structure with this stoichiometry	0	meV/atom
raw total energy	-3.05	eV per atom

a = 5.166 Å, b = 5.124 Å, c = 6.605 Å
α = 67.17°, β = 66.98°, γ = 90.00°
Atoms (fractional coordinates):
Ba: 0.676 0.176 0.648
Ba: 0.324 0.824 0.352
Rh: 0.000 0.000 0.000
Li: 0.775 0.500 0.000
Li: 0.225 0.500 0.000

***

8.
Computed, not measured: crystalline CePm2PaS4 at its relaxed geometry at the PBE-GGA level of DFT.

Properties
uncorrected formation energy	-1.907	eV per atom
raw total energy	-7.09	eV per atom

a = 3.977 Å, b = 6.908 Å, c = 6.941 Å
α = 109.21°, β = 90.00°, γ = 90.00°
Each line ends with the local moment (μB).
Atoms (fractional coordinates):
Pm: 0.500 0.000 0.500  0.00
Pm: 0.000 0.500 0.500  0.00
Pa: 0.500 0.500 0.000  0.29
S: 0.500 0.254 0.247  -0.01
S: 0.500 0.746 0.753  -0.01
S: 0.000 0.256 0.756  -0.01
S: 0.000 0.744 0.244  -0.01
Ce: 0.000 0.000 0.000  0.58

***

What is the raw total energy in the sixth record? -4.38 eV per atom